Entry 1:
Material: TbYTe2
Method: DFT, PBE-GGA
State: optimized geometry

Unit cell a=4.217 b=4.217 c=23.043 alpha=90.00 beta=90.00 gamma=120.00
Element x y z (fractional)
Tb 0.000 0.000 0.000
Tb 0.333 0.667 0.667
Tb 0.667 0.333 0.333
Y 0.000 0.000 0.826
Y 0.333 0.667 0.493
Y 0.667 0.333 0.160
Te 0.000 0.000 0.245
Te 0.000 0.000 0.414
Te 0.333 0.667 0.081
Te 0.333 0.667 0.912
Te 0.667 0.333 0.579
Te 0.667 0.333 0.748

Values from the calculation:
VASP energy: -5.68 eV/atom
excess energy over the best structure of this formula in the dataset: 0 meV per atom

***

Entry 2:
Material: CeFeB14
Method: DFT, PBE-GGA
State: optimized geometry

Unit cell a=7.359 b=7.359 c=7.359 alpha=133.33 beta=87.29 gamma=111.16
Element x y z (fractional)
Ce 0.382 0.132 0.250
Ce 0.618 0.868 0.750
Fe 0.000 0.000 0.500
Fe 0.000 0.500 0.000
B 0.002 0.867 0.136
B 0.031 0.203 0.330
B 0.031 0.701 0.828
B 0.079 0.667 0.412
B 0.202 0.536 0.666
B 0.219 0.499 0.397
B 0.219 0.822 0.720
B 0.231 0.867 0.364
B 0.245 0.333 0.912
B 0.370 0.536 0.834
B 0.373 0.203 0.672
B 0.373 0.701 0.170
B 0.398 0.178 0.897
B 0.398 0.501 0.220
B 0.602 0.499 0.780
B 0.602 0.822 0.103
B 0.627 0.299 0.830
B 0.627 0.797 0.328
B 0.630 0.464 0.166
B 0.755 0.667 0.088
B 0.769 0.133 0.636
B 0.781 0.178 0.280
B 0.781 0.501 0.603
B 0.798 0.464 0.334
B 0.921 0.333 0.588
B 0.969 0.299 0.172
B 0.969 0.797 0.670
B 0.998 0.133 0.864

Values from the calculation:
VASP energy: -6.90 eV/atom

***

Entry 3:
Material: VCo2CuN
Method: DFT, PBE-GGA
State: optimized geometry

Unit cell a=3.743 b=3.743 c=3.853 alpha=90.00 beta=90.00 gamma=90.00
Element x y z (fractional)
V 0.000 0.000 0.000
Co 0.000 0.500 0.500
Co 0.500 0.000 0.500
Cu 0.500 0.500 0.000
N 0.000 0.000 0.500

Values from the calculation:
VASP energy: -7.28 eV/atom

***

Entry 4:
Material: Hg3PbAu8
Method: DFT, PBE-GGA
State: optimized geometry

Unit cell a=5.591 b=5.591 c=9.545 alpha=97.47 beta=97.47 gamma=61.32
Element x y z (fractional)
Hg 0.000 0.000 0.000
Hg 0.406 0.406 0.186
Hg 0.577 0.577 0.568
Pb 0.933 0.933 0.622
Au 0.282 0.282 0.615
Au 0.463 0.960 0.850
Au 0.463 0.970 0.359
Au 0.464 0.464 0.888
Au 0.701 0.701 0.105
Au 0.960 0.463 0.850
Au 0.961 0.961 0.301
Au 0.970 0.463 0.359

Values from the calculation:
VASP energy: -2.55 eV/atom

***

Entry 5:
Material: BaAlIr2
Method: DFT, PBE-GGA
State: optimized geometry

Unit cell a=5.038 b=5.038 c=16.892 alpha=90.00 beta=90.00 gamma=90.00
Element x y z (fractional)
Ba 0.000 0.250 0.375
Ba 0.000 0.750 0.625
Ba 0.500 0.250 0.125
Ba 0.500 0.750 0.875
Al 0.000 0.250 0.875
Al 0.000 0.750 0.125
Al 0.500 0.250 0.625
Al 0.500 0.750 0.375
Ir 0.000 0.000 0.000
Ir 0.000 0.500 0.000
Ir 0.250 0.250 0.750
Ir 0.250 0.750 0.250
Ir 0.500 0.000 0.500
Ir 0.500 0.500 0.500
Ir 0.750 0.250 0.750
Ir 0.750 0.750 0.250

Values from the calculation:
VASP energy: -5.98 eV/atom
excess energy over the best structure of this formula in the dataset: 252 meV per atom

***

Entry 6:
Material: HfTiInAu
Method: DFT, PBE-GGA
State: optimized geometry

Unit cell a=3.050 b=3.050 c=8.294 alpha=90.00 beta=90.00 gamma=90.00
Element x y z (fractional)
Hf 0.000 0.000 0.000
Ti 0.000 0.000 0.472
In 0.500 0.500 0.725
Au 0.500 0.500 0.247

Values from the calculation:
VASP energy: -6.24 eV/atom
excess energy over the best structure of this formula in the dataset: 0 meV per atom

***

Entry 7:
Material: Er5CdIn4
Method: DFT, PBE-GGA
State: optimized geometry

Unit cell a=3.712 b=3.712 c=18.789 alpha=90.00 beta=90.00 gamma=90.00
Element x y z (fractional)
Er 0.000 0.000 0.000
Er 0.000 0.000 0.201
Er 0.000 0.000 0.402
Er 0.000 0.000 0.598
Er 0.000 0.000 0.799
Cd 0.500 0.500 0.500
In 0.500 0.500 0.100
In 0.500 0.500 0.303
In 0.500 0.500 0.697
In 0.500 0.500 0.900

Values from the calculation:
VASP energy: -3.89 eV/atom

***

Entry 8:
Material: Nb2Te5Pd
Method: DFT, PBE-GGA
State: optimized geometry

Unit cell a=6.976 b=6.976 c=13.530 alpha=90.00 beta=90.00 gamma=133.88
Element x y z (fractional)
Nb 0.177 0.823 0.548
Nb 0.177 0.823 0.952
Nb 0.823 0.177 0.048
Nb 0.823 0.177 0.452
Te 0.042 0.958 0.107
Te 0.042 0.958 0.393
Te 0.264 0.736 0.750
Te 0.331 0.669 0.095
Te 0.331 0.669 0.405
Te 0.669 0.331 0.595
Te 0.669 0.331 0.905
Te 0.736 0.264 0.250
Te 0.958 0.042 0.607
Te 0.958 0.042 0.893
Pd 0.189 0.811 0.250
Pd 0.811 0.189 0.750

Values from the calculation:
VASP energy: -5.32 eV/atom

***

Entry 9:
Material: Cs2YCu2Te4
Method: DFT, PBE-GGA
State: optimized geometry

Unit cell a=8.378 b=8.378 c=9.129 alpha=107.03 beta=107.03 gamma=29.94
Element x y z (fractional)
Cs 0.134 0.134 0.052
Cs 0.866 0.866 0.948
Y 0.000 0.000 0.500
Cu 0.318 0.318 0.514
Cu 0.682 0.682 0.486
Te 0.199 0.199 0.663
Te 0.475 0.475 0.722
Te 0.525 0.525 0.278
Te 0.801 0.801 0.337

Values from the calculation:
VASP energy: -4.06 eV/atom

***

Entry 10:
Material: Cd2GaHgIr
Method: DFT, PBE-GGA
State: optimized geometry

Unit cell a=5.283 b=5.283 c=4.790 alpha=90.00 beta=90.00 gamma=90.00
Element x y z (fractional)
Cd 0.000 0.500 0.000
Cd 0.500 0.000 0.000
Ga 0.000 0.000 0.500
Hg 0.500 0.500 0.500
Ir 0.000 0.000 0.000

Values from the calculation:
VASP energy: -2.75 eV/atom

***

Entry 11:
Material: Pr4GeTe2Pb
Method: DFT, PBE-GGA
State: optimized geometry

Unit cell a=7.837 b=4.490 c=7.866 alpha=90.00 beta=109.14 gamma=90.00
Element x y z (fractional)
Pr 0.233 0.000 0.230
Pr 0.244 0.500 0.762
Pr 0.756 0.500 0.238
Pr 0.767 0.000 0.770
Ge 0.000 0.500 0.000
Te 0.000 0.000 0.500
Te 0.500 0.500 0.500
Pb 0.500 0.000 0.000

Values from the calculation:
VASP energy: -5.33 eV/atom

***

Entry 12:
Material: SrMg2Mo
Method: DFT, PBE-GGA
State: optimized geometry

Unit cell a=4.509 b=4.509 c=9.312 alpha=90.00 beta=90.00 gamma=90.00
Element x y z (fractional)
Sr 0.000 0.000 0.000
Sr 0.500 0.500 0.500
Mg 0.000 0.000 0.500
Mg 0.000 0.500 0.750
Mg 0.500 0.000 0.250
Mg 0.500 0.500 0.000
Mo 0.000 0.500 0.250
Mo 0.500 0.000 0.750

Values from the calculation:
VASP energy: -3.20 eV/atom
excess energy over the best structure of this formula in the dataset: 242 meV per atom

***

Entry 13:
Material: Sb2As3
Method: DFT, PBE-GGA
State: optimized geometry

Unit cell a=3.952 b=3.952 c=9.032 alpha=90.00 beta=90.00 gamma=120.00
Element x y z (fractional)
Sb 0.333 0.667 0.300
Sb 0.667 0.333 0.700
As 0.000 0.000 0.500
As 0.333 0.667 0.904
As 0.667 0.333 0.096

Values from the calculation:
VASP energy: -4.28 eV/atom
excess energy over the best structure of this formula in the dataset: 0 meV per atom